(1)
Ce2SbBr | GGA-PBE | optimized geometry

Computed properties:
- offset from the most stable computed form (meV/atom) = 90.5
- space-group type = R3m

Lattice parameters (Å, degrees): 4.245 4.245 8.263 75.12 75.12 60.00
Positions (direct):
Ce1 0.080 0.080 0.760
Ce2 0.254 0.254 0.238
Sb1 0.668 0.668 0.997
Br1 0.498 0.498 0.505

(2)
Ce4SbBr5 | GGA-PBE | optimized geometry

Computed properties:
- offset from the most stable computed form (meV/atom) = 211.3
- space-group type = Pmmn

Lattice parameters (Å, degrees): 7.181 8.849 10.487 90.00 90.00 90.00
Positions (direct):
Ce1 0.898 0.000 0.756
Ce2 0.516 0.655 0.000
Ce3 0.516 0.345 0.000
Ce4 0.898 0.000 0.244
Ce5 0.102 0.500 0.256
Ce6 0.484 0.845 0.500
Ce7 0.484 0.155 0.500
Ce8 0.102 0.500 0.744
Sb1 0.666 0.000 0.000
Sb2 0.334 0.500 0.500
Br1 0.251 0.799 0.807
Br2 0.251 0.201 0.807
Br3 0.891 0.500 0.000
Br4 0.251 0.799 0.193
Br5 0.251 0.201 0.193
Br6 0.749 0.701 0.307
Br7 0.749 0.299 0.307
Br8 0.109 0.000 0.500
Br9 0.749 0.299 0.693
Br10 0.749 0.701 0.693

(3)
Ce2SbBr | GGA-PBE | optimized geometry

Computed properties:
- offset from the most stable computed form (meV/atom) = 0.0
- space-group type = Pnma

Lattice parameters (Å, degrees): 4.277 7.824 14.636 90.00 90.00 90.00
Positions (direct):
Ce1 0.750 0.295 0.500
Ce2 0.250 0.705 0.500
Ce3 0.750 0.795 0.000
Ce4 0.250 0.205 0.000
Ce5 0.750 0.156 0.764
Ce6 0.250 0.344 0.264
Ce7 0.750 0.656 0.736
Ce8 0.250 0.844 0.236
Sb1 0.750 0.101 0.151
Sb2 0.250 0.899 0.849
Sb3 0.750 0.601 0.349
Sb4 0.250 0.399 0.651
Br1 0.250 0.570 0.096
Br2 0.250 0.070 0.405
Br3 0.750 0.430 0.904
Br4 0.750 0.930 0.595

(4)
Ce6Sb5Br | GGA-PBE | optimized geometry

Computed properties:
- space-group type = C2/m

Lattice parameters (Å, degrees): 7.732 7.776 7.780 60.02 80.34 70.38
Positions (direct):
Sb1 0.500 0.166 0.668
Sb2 0.000 0.333 0.334
Sb3 0.500 0.500 0.000
Sb4 0.000 0.667 0.666
Sb5 0.500 0.834 0.332
Br1 0.000 0.000 0.000
Ce1 0.749 0.084 0.335
Ce2 0.251 0.581 0.335
Ce3 0.252 0.252 0.000
Ce4 0.748 0.748 0.000
Ce5 0.749 0.419 0.665
Ce6 0.251 0.916 0.665

(5)
Ce2SbBr3 | GGA-PBE | optimized geometry

Computed properties:
- space-group type = C2/m

Lattice parameters (Å, degrees): 4.448 8.677 11.790 109.53 90.00 104.85
Positions (direct):
Ce1 0.483 0.965 0.823
Ce2 0.517 0.035 0.177
Ce3 0.757 0.515 0.147
Ce4 0.243 0.485 0.853
Sb1 0.886 0.773 0.981
Sb2 0.114 0.227 0.019
Br1 0.300 0.599 0.657
Br2 0.962 0.924 0.654
Br3 0.634 0.269 0.723
Br4 0.366 0.731 0.277
Br5 0.038 0.076 0.346
Br6 0.700 0.401 0.343

(6)
CeSbBr | GGA-PBE | optimized geometry

Computed properties:
- offset from the most stable computed form (meV/atom) = 71.6
- space-group type = P-1

Lattice parameters (Å, degrees): 5.009 8.275 5.697 93.95 63.91 90.05
Positions (direct):
Ce1 0.768 0.732 0.463
Ce2 0.232 0.268 0.537
Sb1 0.086 0.627 0.827
Sb2 0.914 0.373 0.173
Br1 0.647 0.097 0.707
Br2 0.353 0.903 0.293

(7)
Ce7SbBr12 | GGA-PBE | optimized geometry

Computed properties:
- space-group type = R-3

Lattice parameters (Å, degrees): 9.600 9.600 9.600 108.68 108.68 108.68
Positions (direct):
Ce1 0.940 0.642 0.864
Ce2 0.358 0.136 0.060
Ce3 0.136 0.060 0.358
Ce4 0.500 0.500 0.500
Ce5 0.864 0.940 0.642
Ce6 0.642 0.864 0.940
Ce7 0.060 0.358 0.136
Sb1 0.000 0.000 0.000
Br1 0.927 0.301 0.777
Br2 0.699 0.223 0.073
Br3 0.484 0.159 0.400
Br4 0.841 0.600 0.516
Br5 0.223 0.073 0.699
Br6 0.600 0.516 0.841
Br7 0.400 0.484 0.159
Br8 0.777 0.927 0.301
Br9 0.159 0.400 0.484
Br10 0.516 0.841 0.600
Br11 0.301 0.777 0.927
Br12 0.073 0.699 0.223

(8)
Ce4SbBr5 | GGA-PBE | optimized geometry

Computed properties:
- offset from the most stable computed form (meV/atom) = 0.0
- space-group type = C2/m

Lattice parameters (Å, degrees): 4.174 9.022 9.456 100.28 102.75 90.00
Positions (direct):
Ce1 0.670 0.064 0.341
Ce2 0.004 0.247 0.007
Ce3 0.330 0.936 0.659
Ce4 0.996 0.753 0.993
Sb1 0.500 0.000 0.000
Br1 0.169 0.311 0.339
Br2 0.165 0.810 0.329
Br3 0.835 0.190 0.671
Br4 0.500 0.500 0.000
Br5 0.831 0.689 0.661

no.,ΔE_f (raw) (eV/atom),calculated density (Mg/m³)
1,-1.02,6.5
2,-1.21,5.4
3,-1.11,6.5
4,-1.08,6.7
5,-1.45,5.2
6,-1.06,5.4
7,-1.55,4.9
8,-1.42,5.3